Record 1
Entry from Alexandria: an optimized crystal structure of K2NiIrS (PBE).

Cell and atoms, written as CIF:
```
data_K2NiIrS
_chemical_formula_sum 'K2 Ni1 Ir1 S1'
_cell_length_a 6.227
_cell_length_b 6.227
_cell_length_c 4.021
_cell_angle_alpha 90.00
_cell_angle_beta 90.00
_cell_angle_gamma 90.00
_symmetry_space_group_name_H-M 'P 4/m m m'
_symmetry_Int_Tables_number 123
_symmetry_space_group_name_Hall '-P 4 2'
loop_
_atom_site_label
_atom_site_fract_x
_atom_site_fract_y
_atom_site_fract_z
K1 0.000 0.500 0.000
Ni1 0.000 0.000 0.000
Ir1 0.500 0.500 0.500
S1 0.000 0.000 0.500
```

***

Record 2
Entry from Alexandria: an optimized crystal structure of K2Ni2IrS4 (PBE).

Cell and atoms, written as CIF:
```
data_K2Ni2IrS4
_chemical_formula_sum 'K4 Ni4 Ir2 S8'
_cell_length_a 14.140
_cell_length_b 3.793
_cell_length_c 7.111
_cell_angle_alpha 90.00
_cell_angle_beta 110.49
_cell_angle_gamma 90.00
_symmetry_space_group_name_H-M 'C 1 2/m 1'
_symmetry_Int_Tables_number 12
_symmetry_space_group_name_Hall '-C 2y'
loop_
_atom_site_label
_atom_site_fract_x
_atom_site_fract_y
_atom_site_fract_z
K1 0.130 0.000 0.051
Ni1 0.194 0.500 0.497
Ir1 0.000 0.000 0.500
S1 0.023 0.500 0.304
S2 0.184 0.000 0.653
```

***

no.,uncorrected energy (eV per atom),uncorrected formation energy (kJ/mol of atoms)
1,-3.65,52.45
2,-4.92,-55.22